Here is a relaxed structure of LaNi3O from Alexandria via LeMat-Bulk. Energies are from PBE+U. Values from VASP.

```
&SYSTEM
  ibrav = 0, nat = 5, ntyp = 3
/
ATOMIC_SPECIES
La 138.91 La.upf
Ni 58.69 Ni.upf
O 16.00 O.upf
ATOMIC_POSITIONS angstrom
La 0.000 0.000 0.000
Ni 0.000 0.000 2.276
Ni 0.000 2.276 0.000
Ni 2.276 0.000 0.000
O 2.276 2.276 2.276
CELL_PARAMETERS angstrom
4.552 0.000 0.000
0.000 4.552 0.000
0.000 0.000 4.552
```

Output
Energy above the most stable polymorph in this dataset, eV per atom: 1.940
Crystal system: cubic
Energy, eV per atom: -1.385
Space group: Pm-3m, No. 221